(1)
Ac2Si3Pd9: relaxed, PBE.

a b c (Å): 7.842 7.842 10.545
angles (deg): 112.47 112.47 58.62
Atoms (fractional coordinates):
1 Ac 0.083 0.261 0.247
2 Ac 0.261 0.083 0.747
3 Ac 0.739 0.917 0.253
4 Ac 0.917 0.739 0.753
5 Si 0.000 0.500 0.000
6 Si 0.164 0.669 0.499
7 Si 0.331 0.836 0.001
8 Si 0.500 0.000 0.500
9 Si 0.669 0.164 0.999
10 Si 0.836 0.331 0.501
11 Pd 0.011 0.871 0.075
12 Pd 0.129 0.989 0.425
13 Pd 0.185 0.354 0.563
14 Pd 0.210 0.579 0.253
15 Pd 0.318 0.495 0.975
16 Pd 0.354 0.185 0.063
17 Pd 0.366 0.634 0.750
18 Pd 0.421 0.790 0.247
19 Pd 0.495 0.318 0.475
20 Pd 0.505 0.682 0.525
21 Pd 0.579 0.210 0.753
22 Pd 0.634 0.366 0.250
23 Pd 0.646 0.815 0.937
24 Pd 0.682 0.505 0.025
25 Pd 0.790 0.421 0.747
26 Pd 0.815 0.646 0.437
27 Pd 0.871 0.011 0.575
28 Pd 0.989 0.129 0.925

Summary:
- E_form (uncorrected) (eV per atom) = -0.74
- space-group type = C2/c

***

(2)
TiAgIr3: relaxed, PBE.

a b c (Å): 4.586 4.586 4.586
angles (deg): 90.00 90.00 90.00
Atoms (fractional coordinates):
1 Ti 0.000 0.000 0.000
2 Ag 0.500 0.500 0.500
3 Ir 0.000 0.000 0.500
4 Ir 0.000 0.500 0.000
5 Ir 0.500 0.000 0.000

Summary:
- relative energy among the computed polymorphs (eV/atom) = 0.000
- space-group type = Pm-3m
- ΔH_f (0 K) (meV per atom) = 1137

***

(3)
V2MoC2: relaxed, PBE.

a b c (Å): 7.164 7.164 7.164
angles (deg): 24.25 24.25 24.25
Atoms (fractional coordinates):
1 V 0.221 0.221 0.221
2 V 0.779 0.779 0.779
3 Mo 0.000 0.000 0.000
4 C 0.398 0.398 0.398
5 C 0.602 0.602 0.602

Summary:
- space-group type = R-3m
- ΔH_f (0 K) (meV per atom) = -245

***

(4)
TbNpCuS4: relaxed, PBE.

a b c (Å): 6.292 6.360 7.491
angles (deg): 90.00 106.98 90.00
Atoms (fractional coordinates):
1 Tb 0.230 0.250 0.055
2 Tb 0.770 0.750 0.945
3 Np 0.224 0.250 0.555
4 Np 0.776 0.750 0.445
5 Cu 0.245 0.750 0.319
6 Cu 0.755 0.250 0.681
7 S 0.016 0.511 0.749
8 S 0.016 0.989 0.749
9 S 0.451 0.750 0.118
10 S 0.456 0.750 0.615
11 S 0.544 0.250 0.385
12 S 0.549 0.250 0.882
13 S 0.984 0.011 0.251
14 S 0.984 0.489 0.251

Summary:
- E_form (uncorrected) (eV per atom) = -1.26
- space-group type = P2_1/m